Record 1
A relaxed Sc2VIr crystal, computed with PBE.

Results
- E_form (eV/atom) = -0.432
- space group = Fm-3m, No. 225
- calculated total energy (eV per cell) = -32.37

abc: 4.642 4.642 4.642
angles: 60.00 60.00 60.00
Sites, in units of the cell vectors:
1 V 0.500 0.500 0.500
2 Ir 0.000 0.000 0.000
3 Sc 0.250 0.250 0.250
4 Sc 0.750 0.750 0.750


Record 2
A relaxed Li4Hg7Pd crystal, computed with PBE.

Results
- E_form (eV/atom) = -0.252
- space group = P-1, No. 2
- calculated total energy (eV per cell) = -17.98

abc: 5.472 8.458 8.108
angles: 54.82 63.04 55.28
Sites, in units of the cell vectors:
1 Hg 0.911 0.226 0.438
2 Hg 0.500 0.000 0.000
3 Hg 0.089 0.774 0.562
4 Li 0.581 0.385 0.758
5 Hg 0.257 0.274 0.600
6 Li 0.428 0.842 0.730
7 Li 0.419 0.615 0.242
8 Hg 0.135 0.585 0.042
9 Li 0.572 0.158 0.270
10 Hg 0.743 0.726 0.400
11 Hg 0.865 0.415 0.958
12 Pd 0.000 0.000 0.000


Record 3
A relaxed Ca2NpRh2 crystal, computed with PBE.

Results
- E_form (eV/atom) = -0.316
- space group = C2/c, No. 15
- calculated total energy (eV per cell) = -66.45

abc: 6.025 6.025 7.757
angles: 81.33 81.33 60.85
Sites, in units of the cell vectors:
1 Ca 0.473 0.225 0.148
2 Rh 0.994 0.278 0.990
3 Ca 0.527 0.775 0.852
4 Rh 0.722 0.006 0.510
5 Np 0.106 0.894 0.250
6 Rh 0.006 0.722 0.010
7 Rh 0.278 0.994 0.490
8 Np 0.894 0.106 0.750
9 Ca 0.775 0.527 0.352
10 Ca 0.225 0.473 0.648


Record 4
A relaxed Re2SiHgAu crystal, computed with PBE.

Results
- space group = P4/mmm, No. 123
- raw formation energy (eV per atom) = 1.3961
- calculated total energy (eV per cell) = -26.92

abc: 4.489 4.489 4.790
angles: 90.00 90.00 90.00
Sites, in units of the cell vectors:
1 Au 0.500 0.500 0.500
2 Si 0.000 0.000 0.000
3 Re 0.500 0.000 0.000
4 Re 0.000 0.500 0.000
5 Hg 0.000 0.000 0.500


Record 5
A relaxed BeP2W crystal, computed with PBE.

Results
- E_form (eV/atom) = 0.295
- space group = P4/mmm, No. 123
- calculated total energy (eV per cell) = -26.32

abc: 3.100 4.075 4.075
angles: 90.00 90.00 90.00
Sites, in units of the cell vectors:
1 P 0.000 0.500 0.500
2 W 0.500 0.500 0.000
3 Be 0.500 0.000 0.500
4 P 0.000 0.000 0.000


Record 6
A relaxed PaAl2Au crystal, computed with PBE.

Results
- E_form (eV/atom) = -0.346
- space group = Cmcm, No. 63
- calculated total energy (eV per cell) = -43.29

abc: 4.474 5.671 6.813
angles: 90.00 90.00 113.23
Sites, in units of the cell vectors:
1 Al 0.621 0.242 0.443
2 Pa 0.071 0.142 0.750
3 Al 0.379 0.758 0.943
4 Au 0.220 0.439 0.250
5 Pa 0.929 0.858 0.250
6 Au 0.780 0.561 0.750
7 Al 0.621 0.242 0.057
8 Al 0.379 0.758 0.557


Record 7
A relaxed CdInCuNi crystal, computed with PBE.

Results
- E_form (eV/atom) = 0.016
- space group = F-43m, No. 216
- calculated total energy (eV per cell) = -13.47

abc: 4.497 4.497 4.497
angles: 60.00 60.00 60.00
Sites, in units of the cell vectors:
1 Cd 0.750 0.750 0.750
2 Ni 0.000 0.000 0.000
3 Cu 0.500 0.500 0.500
4 In 0.250 0.250 0.250


Record 8
A relaxed CaAgOs2 crystal, computed with PBE.

Results
- E_form (eV/atom) = 1.060
- space group = P4/mmm, No. 123
- calculated total energy (eV per cell) = -23.07

abc: 3.430 3.430 6.481
angles: 90.00 90.00 90.00
Sites, in units of the cell vectors:
1 Os 0.000 0.000 0.058
2 Ca 0.500 0.500 0.750
3 Os 0.000 0.000 0.442
4 Ag 0.500 0.500 0.250


Record 9
A relaxed Nd5Dy2Tm crystal, computed with PBE.

Results
- E_form (eV/atom) = 0.018
- space group = Pbam, No. 55
- calculated total energy (eV per cell) = -74.75

abc: 5.123 7.237 14.490
angles: 90.00 90.00 90.00
Sites, in units of the cell vectors:
1 Tm 0.000 0.000 0.500
2 Nd 0.000 0.998 0.252
3 Nd 0.500 0.748 0.124
4 Nd 0.000 0.500 0.500
5 Nd 0.500 0.252 0.876
6 Nd 0.000 0.498 0.248
7 Dy 0.500 0.749 0.376
8 Nd 0.000 0.002 0.748
9 Nd 0.000 0.502 0.752
10 Nd 0.500 0.248 0.376
11 Tm 0.000 0.500 0.000
12 Dy 0.500 0.751 0.876
13 Nd 0.000 0.000 0.000
14 Dy 0.500 0.251 0.624
15 Nd 0.500 0.752 0.624
16 Dy 0.500 0.249 0.124


Record 10
A relaxed GdDyTcNi crystal, computed with PBE.

Results
- E_form (eV/atom) = -0.090
- space group = F-43m, No. 216
- calculated total energy (eV per cell) = -35.19

abc: 4.824 4.824 4.824
angles: 60.00 60.00 60.00
Sites, in units of the cell vectors:
1 Tc 0.750 0.750 0.750
2 Ni 0.250 0.250 0.250
3 Dy 0.000 0.000 0.000
4 Gd 0.500 0.500 0.500


Record 11
A relaxed LiCa2Zn6Ni crystal, computed with PBE.

Results
- E_form (eV/atom) = -0.059
- space group = C2/m, No. 12
- calculated total energy (eV per cell) = -19.93

abc: 6.539 6.534 6.545
angles: 59.92 59.94 89.98
Sites, in units of the cell vectors:
1 Zn 0.749 0.749 0.503
2 Zn 0.749 0.251 0.000
3 Li 0.500 0.500 0.000
4 Zn 0.251 0.251 0.000
5 Ca 0.750 0.250 0.500
6 Ca 0.250 0.750 0.500
7 Zn 0.749 0.749 0.000
8 Zn 0.251 0.251 0.497
9 Zn 0.251 0.749 0.000
10 Ni 0.000 0.000 0.000


Record 12
A relaxed Li2Pa2O5F2 crystal, computed with PBE.

Results
- space group = I4/mmm, No. 139
- raw formation energy (eV per atom) = -3.2604
- calculated total energy (eV per cell) = -87.22

abc: 4.330 4.330 9.870
angles: 102.67 102.67 90.00
Sites, in units of the cell vectors:
1 F 0.231 0.231 0.462
2 O 0.626 0.126 0.252
3 Li 0.672 0.672 0.343
4 Pa 0.113 0.113 0.227
5 O 0.374 0.874 0.748
6 O 0.126 0.626 0.252
7 F 0.769 0.769 0.538
8 Pa 0.887 0.887 0.773
9 Li 0.328 0.328 0.657
10 O 0.874 0.374 0.748
11 O 0.000 0.000 0.000